No. 1
{"formula": "RbNa3Cu4I12", "functional": "PBE", "state": "relaxed", "dos_ef_per_ev_atom": 0.4722, "space_group": "No. 155", "m_tot_mub_per_cell": 0.00, "lattice": [[-8.426, -4.201, -3.018], [1.359, -4.799, 8.537], [-3.485, 8.607, 3.397]], "species": ["Rb", "Na", "Na", "Na", "Cu", "Cu", "Cu", "Cu", "I", "I", "I", "I", "I", "I", "I", "I", "I", "I", "I", "I"], "frac_coords": [[0.000, 0.000, 0.000], [0.545, 0.455, 0.000], [0.455, 0.000, 0.545], [0.000, 0.545, 0.455], [0.936, 0.064, 0.500], [0.064, 0.500, 0.936], [0.500, 0.936, 0.064], [0.500, 0.500, 0.500], [0.500, 0.335, 0.665], [0.894, 0.500, 0.106], [0.106, 0.894, 0.500], [0.500, 0.106, 0.894], [0.348, 0.007, 0.223], [0.223, 0.348, 0.007], [0.007, 0.223, 0.348], [0.652, 0.777, 0.993], [0.993, 0.652, 0.777], [0.777, 0.993, 0.652], [0.665, 0.500, 0.335], [0.335, 0.665, 0.500]]}

---

No. 2
{"formula": "RbNa2CuI4", "functional": "PBE", "state": "relaxed", "dos_ef_per_ev_atom": 0.0000, "space_group": "No. 63", "m_tot_mub_per_cell": 0.00, "lattice": [[4.555, 0.000, 0.000], [-2.278, 7.928, 0.000], [0.000, 0.000, 16.353]], "species": ["Rb", "Rb", "Na", "Na", "Na", "Na", "Cu", "Cu", "I", "I", "I", "I", "I", "I", "I", "I"], "frac_coords": [[0.111, 0.222, 0.750], [0.889, 0.778, 0.250], [0.371, 0.743, 0.555], [0.629, 0.257, 0.055], [0.629, 0.257, 0.445], [0.371, 0.743, 0.945], [0.832, 0.664, 0.750], [0.168, 0.336, 0.250], [0.263, 0.525, 0.118], [0.737, 0.475, 0.618], [0.737, 0.475, 0.882], [0.263, 0.525, 0.382], [0.000, 0.000, 0.500], [0.000, 0.000, 0.000], [0.423, 0.847, 0.750], [0.577, 0.153, 0.250]]}

---

No. 3
{"formula": "RbNa2CuI", "functional": "PBE", "state": "relaxed", "dos_ef_per_ev_atom": 0.9225, "space_group": "No. 123", "m_tot_mub_per_cell": 0.00, "lattice": [[7.031, 0.000, 0.000], [0.000, 6.378, 0.000], [0.000, 0.000, 7.031]], "species": ["I", "Na", "Na", "Cu", "Rb"], "frac_coords": [[0.000, 0.500, 0.000], [0.000, 0.000, 0.500], [0.500, 0.000, 0.000], [0.500, 0.500, 0.500], [0.000, 0.000, 0.000]]}

---

No. 4
{"formula": "NaCuSI", "functional": "PBE", "state": "relaxed", "dos_ef_per_ev_atom": 0.8293, "space_group": "No. 123", "m_tot_mub_per_cell": 0.23, "lattice": [[3.986, 0.000, 0.000], [0.000, 3.986, 0.000], [0.000, 0.000, 5.625]], "species": ["Na", "Cu", "S", "I"], "frac_coords": [[0.500, 0.500, 0.500], [0.000, 0.000, 0.000], [0.000, 0.000, 0.500], [0.500, 0.500, 0.000]]}

---

No. 5
{"formula": "Na2CuSI", "functional": "PBE", "state": "relaxed", "space_group": "No. 123", "m_tot_mub_per_cell": 0.00, "lattice": [[5.554, 0.000, 0.000], [0.000, 5.554, 0.000], [0.000, 0.000, 4.276]], "species": ["I", "Na", "Na", "S", "Cu"], "frac_coords": [[0.500, 0.500, 0.500], [0.000, 0.500, 0.000], [0.500, 0.000, 0.000], [0.000, 0.000, 0.000], [0.000, 0.000, 0.500]]}

---

No. 6
{"formula": "NaCu2SbI6", "functional": "PBE", "state": "relaxed", "space_group": "No. 15", "m_tot_mub_per_cell": 0.00, "lattice": [[7.621, -0.506, -0.525], [1.834, 9.573, 0.273], [1.834, -0.082, 9.576]], "species": ["Na", "Na", "Cu", "Cu", "Cu", "Cu", "Sb", "Sb", "I", "I", "I", "I", "I", "I", "I", "I", "I", "I", "I", "I"], "frac_coords": [[0.250, 0.914, 0.086], [0.750, 0.086, 0.914], [0.203, 0.766, 0.593], [0.297, 0.407, 0.234], [0.797, 0.234, 0.407], [0.703, 0.593, 0.766], [0.250, 0.267, 0.733], [0.750, 0.733, 0.267], [0.139, 0.969, 0.776], [0.361, 0.224, 0.031], [0.861, 0.031, 0.224], [0.639, 0.776, 0.969], [0.386, 0.870, 0.381], [0.114, 0.619, 0.130], [0.614, 0.130, 0.619], [0.886, 0.381, 0.870], [0.883, 0.712, 0.557], [0.617, 0.443, 0.288], [0.117, 0.288, 0.443], [0.383, 0.557, 0.712]]}

---

No. 7
{"formula": "Na2CuSeI", "functional": "PBE", "state": "relaxed", "space_group": "No. 123", "m_tot_mub_per_cell": 0.00, "lattice": [[-4.210, 1.914, -3.335], [-3.778, -2.982, 3.058], [-0.566, 3.524, 2.737]], "species": ["I", "Na", "Na", "Cu", "Se"], "frac_coords": [[0.500, 0.500, 0.500], [0.000, 0.500, 0.000], [0.500, 0.000, 0.000], [0.000, 0.000, 0.500], [0.000, 0.000, 0.000]]}

---

No. 8
{"formula": "NaSrCuI2", "functional": "PBE", "state": "relaxed", "dos_ef_per_ev_atom": 0.0010, "space_group": "No. 123", "m_tot_mub_per_cell": 0.00, "lattice": [[-4.455, 1.971, -2.760], [1.056, -4.491, -4.911], [-3.276, -3.679, 2.661]], "species": ["I", "I", "Sr", "Cu", "Na"], "frac_coords": [[0.000, 0.000, 0.500], [0.500, 0.000, 0.000], [0.000, 0.500, 0.000], [0.500, 0.500, 0.500], [0.000, 0.000, 0.000]]}

---

No. 9
{"formula": "NaSr2CuI", "functional": "PBE", "state": "relaxed", "dos_ef_per_ev_atom": 0.5039, "space_group": "No. 123", "m_tot_mub_per_cell": 0.00, "lattice": [[-0.670, 5.252, 2.874], [1.805, -2.266, 4.562], [5.638, 1.526, -1.473]], "species": ["I", "Sr", "Sr", "Cu", "Na"], "frac_coords": [[0.500, 0.500, 0.500], [0.000, 0.000, 0.500], [0.500, 0.000, 0.000], [0.000, 0.000, 0.000], [0.000, 0.500, 0.000]]}

---

No. 10
{"formula": "Na2SrCuI5", "functional": "PBE", "state": "relaxed", "dos_ef_per_ev_atom": 0.0000, "space_group": "No. 36", "m_tot_mub_per_cell": 0.00, "lattice": [[-3.104, 3.035, 1.153], [-6.144, -8.237, -3.609], [-0.436, -5.472, 13.231]], "species": ["Na", "Na", "Na", "Na", "Sr", "Sr", "Cu", "Cu", "I", "I", "I", "I", "I", "I", "I", "I", "I", "I"], "frac_coords": [[0.899, 0.797, 0.840], [0.075, 0.151, 0.650], [0.101, 0.203, 0.340], [0.925, 0.849, 0.150], [0.800, 0.600, 0.537], [0.200, 0.400, 0.037], [0.572, 0.145, 0.923], [0.428, 0.855, 0.423], [0.357, 0.715, 0.015], [0.691, 0.382, 0.873], [0.503, 0.006, 0.771], [0.311, 0.621, 0.701], [0.955, 0.910, 0.515], [0.643, 0.285, 0.515], [0.309, 0.618, 0.373], [0.497, 0.994, 0.271], [0.689, 0.379, 0.201], [0.045, 0.090, 0.015]]}

---

No. 11
{"formula": "NaCuTe2I", "functional": "PBE", "state": "relaxed", "dos_ef_per_ev_atom": 1.4819, "polymorph_energy_ev_per_atom": 0.8396, "space_group": "No. 123", "m_tot_mub_per_cell": 0.00, "lattice": [[5.543, 0.000, 0.000], [0.000, 5.543, 0.000], [0.000, 0.000, 5.811]], "species": ["I", "Na", "Te", "Te", "Cu"], "frac_coords": [[0.000, 0.000, 0.500], [0.000, 0.000, 0.000], [0.000, 0.500, 0.000], [0.500, 0.000, 0.000], [0.500, 0.500, 0.500]]}

---

No. 12
{"formula": "NaCuTeI2", "functional": "PBE", "state": "relaxed", "dos_ef_per_ev_atom": 1.1836, "polymorph_energy_ev_per_atom": 0.0000, "space_group": "No. 123", "m_tot_mub_per_cell": 0.03, "lattice": [[-2.975, 4.207, 2.338], [0.667, -2.362, 5.099], [4.338, 2.690, 0.678]], "species": ["I", "I", "Na", "Te", "Cu"], "frac_coords": [[0.000, 0.500, 0.000], [0.500, 0.000, 0.000], [0.500, 0.500, 0.500], [0.000, 0.000, 0.500], [0.000, 0.000, 0.000]]}

---

no.,uncorrected formation energy (eV per atom)
1,-0.51
2,-1.02
3,0.45
4,-0.18
5,-0.83
6,-0.41
7,-0.75
8,-0.04
9,-0.26
10,-1.12
11,0.73
12,-0.19